This record from the Alexandria database describes a geometry-optimized La3Cu2S7 structure. The functional is GGA-PBEsol.

POSCAR file:
```
La3Cu2S7
1.0
-3.6824 -4.0711 0.5820
-0.8209 -0.6824 -9.9671
6.8386 -5.4917 4.8535
La Cu S
6 4 14
direct
0.5283 0.8149 0.1847
0.5283 0.8153 0.6301
0.0283 0.1851 0.8153
0.5283 0.3699 0.1851
0.0283 0.1847 0.3699
0.0283 0.6301 0.8149
0.1554 0.6667 0.3333
0.6554 0.3333 0.6667
0.5182 0.0000 0.0000
0.0182 0.0000 0.0000
0.5190 0.1269 0.2541
0.5190 0.7459 0.8728
0.0190 0.8731 0.7459
0.5190 0.1272 0.8731
0.0190 0.2541 0.1272
0.0190 0.8728 0.1269
0.7558 0.6667 0.3333
0.2558 0.3333 0.6667
0.7323 0.4687 0.5310
0.7323 0.4690 0.9377
0.2323 0.5313 0.4690
0.7323 0.0623 0.5313
0.2323 0.5310 0.0623
0.2323 0.9377 0.4687
```

Summary:
Raw formation energy = -1.39 eV per atom
Total moment = 0.000 μB/atom
Final energy = -6.008 eV/atom